The following is a DFT calculation (PBE+U) of crystalline Cd6MoO8 at its relaxed geometry.

Structure (POSCAR):
```
Cd6MoO8
1.0
-3.3538 -4.4009 3.8327
-0.0913 0.7474 6.6887
-5.6727 1.8753 3.0997
Cd O Mo
6 8 1
direct
0.0000 0.5000 0.0000 Cd
0.5000 0.0000 0.0000 Cd
0.0000 0.5000 0.5000 Cd
0.0000 0.0000 0.5000 Cd
0.5000 0.0000 0.5000 Cd
0.5000 0.5000 0.0000 Cd
0.2191 0.7809 0.2191 O
0.2191 0.2191 0.7809 O
0.7809 0.2191 0.7809 O
0.2191 0.7809 0.7809 O
0.7809 0.7809 0.2191 O
0.7500 0.7500 0.7500 O
0.7809 0.2191 0.2191 O
0.2500 0.2500 0.2500 O
0.0000 0.0000 0.0000 Mo
```

space group	Fm-3m (225)
VASP energy	-68.69	eV for the cell shown